## SrMg2IrPb (PBE)

Data for a relaxed structure of SrMg2IrPb.

a b c (Å): 5.7335 5.7335 5.1007
angles (deg): 90.00 90.00 90.00
Space group P4/mmm (No. 123)
One atom of each set of equivalent atoms:
1 Sr 0.0000 0.0000 0.0000
2 Mg 0.0000 0.5000 0.0000
3 Ir 0.0000 0.0000 0.5000
4 Pb 0.5000 0.5000 0.5000

Values from the calculation:
VASP energy = -2.2338 eV per atom
Energy above the most stable polymorph in this dataset = 1.442 eV/atom
Total moment = 0.00 μB/f.u.
Formation energy = 1.25 eV per atom